Entry 1:
NaNiAs2O6 PBE+U relaxed; uncorrected energy = -5.51 eV per atom
1.0
-4.465 0.430 -4.393
-5.654 -5.409 -0.383
-6.714 3.711 1.587
O As Na Ni
12 4 2 2
Direct
0.554 0.777 0.982 O
0.022 0.688 0.616 O
0.978 0.312 0.384 O
0.446 0.223 0.018 O
0.128 0.622 0.150 O
0.478 0.384 0.312 O
0.054 0.982 0.777 O
0.872 0.378 0.850 O
0.628 0.150 0.622 O
0.522 0.616 0.688 O
0.946 0.018 0.223 O
0.372 0.850 0.378 O
0.740 0.625 0.786 As
0.260 0.375 0.214 As
0.240 0.786 0.625 As
0.760 0.214 0.375 As
0.750 0.890 0.110 Na
0.250 0.110 0.890 Na
0.750 0.247 0.753 Ni
0.250 0.753 0.247 Ni

Entry 2:
NaNiAsO4 PBE+U relaxed; uncorrected energy = -5.47 eV per atom; energy above the most stable polymorph in this dataset = 0 meV per atom
1.0
-2.282 0.990 4.363
2.022 -1.598 4.311
4.492 7.398 3.561
O Ni Na As
8 2 2 2
Direct
0.119 0.465 0.637 O
0.629 0.629 0.112 O
0.221 0.881 0.363 O
0.779 0.119 0.637 O
0.465 0.779 0.637 O
0.881 0.535 0.363 O
0.535 0.221 0.363 O
0.371 0.371 0.888 O
0.164 0.164 0.508 Ni
0.836 0.836 0.492 Ni
0.287 0.287 0.138 Na
0.713 0.713 0.862 Na
0.434 0.434 0.699 As
0.566 0.566 0.301 As

Entry 3:
NaNiAsO4 PBE+U relaxed; uncorrected energy = -5.43 eV per atom; energy above the most stable polymorph in this dataset = 42 meV per atom
1.0
-2.916 -2.039 -3.786
4.901 1.087 -1.342
1.922 -6.303 1.915
O Ni Na As
8 2 2 2
Direct
0.209 0.291 0.750 O
0.291 0.209 0.250 O
0.725 0.275 0.549 O
0.275 0.725 0.451 O
0.791 0.709 0.250 O
0.725 0.275 0.951 O
0.275 0.725 0.049 O
0.709 0.791 0.750 O
0.500 0.500 0.000 Ni
0.500 0.500 0.500 Ni
0.818 0.182 0.250 Na
0.182 0.818 0.750 Na
0.838 0.162 0.750 As
0.162 0.838 0.250 As

Entry 4:
NaNiAsO2 PBE+U relaxed; uncorrected energy = -3.58 eV per atom
1.0
-3.451 1.432 -0.816
-1.070 -3.918 -2.351
-1.398 -1.543 3.208
Na Ni As O
1 1 1 2
Direct
0.500 0.500 0.500 Na
0.000 0.000 0.000 Ni
0.000 0.500 0.000 As
0.000 0.000 0.500 O
0.500 0.000 0.000 O

| no. | total magnetization (μB per cell) |
| --- | --- |
| 1 | 3.9 |
| 2 | 4.0 |
| 3 | 4.0 |
| 4 | 0.0 |